Entry from Alexandria: crystalline LaHoLuMg at its relaxed geometry (PBE).

Cell lengths 5.554, 5.554, 5.554 Å; angles 60.00, 60.00, 60.00 degrees
Positions (direct):
1 Mg 0.000 0.000 0.000
2 Ho 0.250 0.250 0.250
3 Lu 0.500 0.500 0.500
4 La 0.750 0.750 0.750

## Properties
* uncorrected energy: -15.56 eV per formula unit
* N(E_F): 4.53 states/eV/f.u.
* DFT formation energy: 0.06 eV per formula unit
* V: 121.15 Å³/cell
* crystal system: cubic